# Hf2CdHg GGA-PBE optimized geometry
# ΔE to the lowest computed polymorph   182 kJ/mol of formula units
# ΔE_f   0.393 eV/atom
# Energy   -4.89 eV/atom
# N(E_F)   9.8 states/eV per cell
data_Hf2CdHg
_chemical_formula_sum 'Hf4 Cd2 Hg2'
_cell_length_a 7.891
_cell_length_b 7.891
_cell_length_c 6.318
_cell_angle_alpha 51.36
_cell_angle_beta 51.36
_cell_angle_gamma 90.00
_symmetry_space_group_name_H-M 'P 1'
_symmetry_Int_Tables_number 1
_symmetry_space_group_name_Hall 'P 1'
loop_
_atom_site_label
_atom_site_type_symbol
_atom_site_fract_x
_atom_site_fract_y
_atom_site_fract_z
Hf1 Hf 0.632 0.125 0.250
Hf2 Hf 0.118 0.625 0.250
Hf3 Hf 0.375 0.368 0.750
Hf4 Hf 0.875 0.882 0.750
Hg1 Hg 0.000 0.000 0.000
Hg2 Hg 0.750 0.250 0.500
Cd1 Cd 0.500 0.500 0.000
Cd2 Cd 0.250 0.750 0.500